1.
Below is a relaxed CsNpCuCl6 crystal, with properties calculated at the PBE-GGA level.

Cell: 11.520 11.520 11.520 Å, 141.22 125.46 68.92°
Atoms (fractional coordinates):
Cs: 0.264 0.014 0.250
Cs: 0.736 0.986 0.750
Np: 0.000 0.500 0.500
Np: 0.500 0.500 0.000
Cu: 0.500 0.000 0.000
Cu: 0.500 0.500 0.500
Cl: 0.055 0.352 0.224
Cl: 0.055 0.832 0.704
Cl: 0.289 0.539 0.750
Cl: 0.372 0.168 0.724
Cl: 0.372 0.648 0.204
Cl: 0.450 0.200 0.250
Cl: 0.550 0.800 0.750
Cl: 0.628 0.352 0.796
Cl: 0.628 0.832 0.276
Cl: 0.711 0.461 0.250
Cl: 0.945 0.168 0.296
Cl: 0.945 0.648 0.776

Output
Its raw formation energy is -1257.1 kJ/mol of formula units. Its space group is Imma.

2.
Below is a relaxed IrRh2Pb crystal, with properties calculated at the PBE-GGA level.

Cell: 2.988 2.988 7.574 Å, 90.00 90.00 90.00°
Atoms (fractional coordinates):
Ir: 0.000 0.000 0.000
Rh: 0.000 0.000 0.556
Rh: 0.500 0.500 0.783
Pb: 0.500 0.500 0.285

Output
Its space group is P4mm. The value obtained for the calculated formation energy is 0.35 eV per atom.

3.
Below is a relaxed AcSmSi2Ni2 crystal, with properties calculated at the PBE-GGA level.

Cell: 4.054 4.054 8.679 Å, 90.00 90.00 120.00°
Atoms (fractional coordinates):
Ac: 0.000 0.000 0.000
Sm: 0.000 0.000 0.500
Si: 0.333 0.667 0.266
Si: 0.667 0.333 0.734
Ni: 0.333 0.667 0.734
Ni: 0.667 0.333 0.266

Output
Its raw formation energy is -397.9 kJ/mol of formula units. Its space group is P-3m1.

4.
Below is a relaxed Ho3TmTl6 crystal, with properties calculated at the PBE-GGA level.

Cell: 6.927 6.927 6.927 Å, 101.18 101.18 101.18°
Atoms (fractional coordinates):
Ho: 0.194 0.194 0.612
Ho: 0.194 0.612 0.194
Ho: 0.612 0.194 0.194
Tm: 0.089 0.089 0.089
Tl: 0.290 0.829 0.829
Tl: 0.519 0.519 0.948
Tl: 0.519 0.948 0.519
Tl: 0.829 0.290 0.829
Tl: 0.829 0.829 0.290
Tl: 0.948 0.519 0.519

Output
Its space group is R3m. The value obtained for the calculated formation energy is 0.03 eV per atom.

no.,mass density (kg/m³)
1,2798
2,14859
3,7405
4,10108